--- w ---
ErPuPt | GGA-PBE | relaxed

```
data_ErPuPt
_chemical_formula_sum 'Er1 Pu1 Pt1'
_cell_length_a 4.6980
_cell_length_b 4.6980
_cell_length_c 3.7674
_cell_angle_alpha 90.00
_cell_angle_beta 90.00
_cell_angle_gamma 120.00
_symmetry_space_group_name_H-M 'P 3 m 1'
_symmetry_Int_Tables_number 156
_symmetry_space_group_name_Hall 'P 3 -2"'
loop_
_atom_site_label
_atom_site_type_symbol
_atom_site_fract_x
_atom_site_fract_y
_atom_site_fract_z
Er1 Er 0.0000 0.0000 0.0000
Pu1 Pu 0.3333 0.6667 0.5587
Pt1 Pt 0.6667 0.3333 0.2706
```

--- x ---
ErPuPt | GGA-PBE | relaxed

```
data_ErPuPt
_chemical_formula_sum 'Er4 Pu4 Pt4'
_cell_length_a 6.858
_cell_length_b 6.858
_cell_length_c 6.858
_cell_angle_alpha 90.00
_cell_angle_beta 90.00
_cell_angle_gamma 90.00
_symmetry_space_group_name_H-M 'F -4 3 m'
_symmetry_Int_Tables_number 216
_symmetry_space_group_name_Hall 'F -4 2 3'
loop_
_atom_site_label
_atom_site_type_symbol
_atom_site_fract_x
_atom_site_fract_y
_atom_site_fract_z
Er1 Er 0.000 0.000 0.000
Pu1 Pu 0.000 0.000 0.500
Pt1 Pt 0.250 0.250 0.250
```

Most stable structure: x

--- w ---
Er7Pt2Rh2 | GGA-PBE | relaxed

```
data_Er7Pt2Rh2
_chemical_formula_sum 'Er14 Pt4 Rh4'
_cell_length_a 3.880
_cell_length_b 14.868
_cell_length_c 9.186
_cell_angle_alpha 90.00
_cell_angle_beta 90.00
_cell_angle_gamma 90.00
_symmetry_space_group_name_H-M 'I m m 2'
_symmetry_Int_Tables_number 44
_symmetry_space_group_name_Hall 'I 2 -2'
loop_
_atom_site_label
_atom_site_type_symbol
_atom_site_fract_x
_atom_site_fract_y
_atom_site_fract_z
Er1 Er 0.000 0.000 0.000
Er2 Er 0.000 0.115 0.600
Er3 Er 0.000 0.312 0.390
Er4 Er 0.000 0.369 0.760
Pt1 Pt 0.000 0.000 0.342
Pt2 Pt 0.000 0.500 0.275
Rh1 Rh 0.000 0.240 0.092
```

--- x ---
Er7Pt2Rh2 | GGA-PBE | relaxed

```
data_Er7Pt2Rh2
_chemical_formula_sum 'Er14 Pt4 Rh4'
_cell_length_a 8.263
_cell_length_b 10.228
_cell_length_c 6.829
_cell_angle_alpha 90.00
_cell_angle_beta 90.00
_cell_angle_gamma 90.00
_symmetry_space_group_name_H-M 'C m m m'
_symmetry_Int_Tables_number 65
_symmetry_space_group_name_Hall '-C 2 2'
loop_
_atom_site_label
_atom_site_type_symbol
_atom_site_fract_x
_atom_site_fract_y
_atom_site_fract_z
Er1 Er 0.000 0.000 0.000
Er2 Er 0.000 0.500 0.255
Er3 Er 0.250 0.250 0.260
Pt1 Pt 0.225 0.000 0.500
Rh1 Rh 0.000 0.279 0.000
```

Most stable structure: w